[1]
PrSm3Ho2S6: relaxed, PBE.

Uncorrected energy   -6.41 eV per atom
D(E_F)   4.9 states/eV/cell
Space-group type   C2/m

Lattice parameters (Å, degrees): 6.908 6.908 6.900 99.59 99.59 120.15
Element x y z (fractional)
Pr 0.000 0.000 0.000
Sm 0.161 0.839 0.500
Sm 0.500 0.500 0.500
Sm 0.839 0.161 0.500
Ho 0.334 0.666 0.000
Ho 0.666 0.334 0.000
S 0.082 0.428 0.246
S 0.265 0.265 0.759
S 0.428 0.082 0.246
S 0.572 0.918 0.754
S 0.735 0.735 0.241
S 0.918 0.572 0.754

***

[2]
Pr3Co2Si4: relaxed, PBE.

Uncorrected energy   -6.26 eV per atom
D(E_F)   4.9 states/eV/cell
Space-group type   C2/m
Energy above the lowest structure with this stoichiometry   0 meV/atom

Lattice parameters (Å, degrees): 6.015 6.015 8.063 107.02 107.02 39.46
Element x y z (fractional)
Pr 0.000 0.000 0.000
Pr 0.394 0.394 0.313
Pr 0.606 0.606 0.687
Co 0.300 0.300 0.636
Co 0.700 0.700 0.364
Si 0.122 0.122 0.398
Si 0.278 0.278 0.920
Si 0.722 0.722 0.080
Si 0.878 0.878 0.602

***

[3]
HfThTl2: relaxed, PBE.

Uncorrected energy   -5.47 eV per atom
DFT formation energy   0.055 eV per atom
D(E_F)   4.0 states/eV/cell
Space-group type   P4/mmm
Energy above the lowest structure with this stoichiometry   23 meV/atom

Lattice parameters (Å, degrees): 4.750 4.750 4.655 90.00 90.00 90.00
Element x y z (fractional)
Hf 0.000 0.000 0.000
Th 0.500 0.500 0.000
Tl 0.000 0.500 0.500
Tl 0.500 0.000 0.500

***

[4]
Dy6Tm12Mg: relaxed, PBE.

Uncorrected energy   -4.22 eV per atom
DFT formation energy   0.144 eV per atom
D(E_F)   32.2 states/eV/cell
Space-group type   R-3m
Energy above the lowest structure with this stoichiometry   2 meV/atom

Lattice parameters (Å, degrees): 8.511 8.511 8.511 97.58 97.58 97.58
Element x y z (fractional)
Dy 0.090 0.363 0.363
Dy 0.363 0.090 0.363
Dy 0.363 0.363 0.090
Dy 0.637 0.637 0.910
Dy 0.637 0.910 0.637
Dy 0.910 0.637 0.637
Tm 0.094 0.094 0.666
Tm 0.094 0.666 0.094
Tm 0.239 0.500 0.761
Tm 0.239 0.761 0.500
Tm 0.334 0.906 0.906
Tm 0.500 0.239 0.761
Tm 0.500 0.761 0.239
Tm 0.666 0.094 0.094
Tm 0.761 0.239 0.500
Tm 0.761 0.500 0.239
Tm 0.906 0.334 0.906
Tm 0.906 0.906 0.334
Mg 0.500 0.500 0.500

***

[5]
MgZrRe2: relaxed, PBE.

Uncorrected energy   -8.72 eV per atom
DFT formation energy   0.040 eV per atom
D(E_F)   3.4 states/eV/cell
Space-group type   P4mm

Lattice parameters (Å, degrees): 3.077 3.077 7.663 90.00 90.00 90.00
Element x y z (fractional)
Mg 0.000 0.000 0.000
Zr 0.500 0.500 0.689
Re 0.000 0.000 0.426
Re 0.500 0.500 0.242

***

[6]
Cu2AsRh: relaxed, PBE.

Uncorrected energy   -5.01 eV per atom
DFT formation energy   0.034 eV per atom
D(E_F)   2.5 states/eV/cell
Space-group type   C2/m

Lattice parameters (Å, degrees): 5.233 5.233 2.886 105.22 105.22 122.00
Element x y z (fractional)
Cu 0.000 0.500 0.000
Cu 0.500 0.000 0.000
As 0.000 0.000 0.500
Rh 0.500 0.500 0.500

***

[7]
Rb4NaH5: relaxed, PBE.

Uncorrected energy   -2.34 eV per atom
D(E_F)   0.0 states/eV/cell
Space-group type   R-3m

Lattice parameters (Å, degrees): 16.939 16.939 16.939 13.79 13.79 13.79
Element x y z (fractional)
Rb 0.106 0.106 0.106
Rb 0.298 0.298 0.298
Rb 0.702 0.702 0.702
Rb 0.894 0.894 0.894
Na 0.500 0.500 0.500
H 0.000 0.000 0.000
H 0.192 0.192 0.192
H 0.404 0.404 0.404
H 0.596 0.596 0.596
H 0.808 0.808 0.808

***

[8]
CaAcGe2O6: relaxed, PBE.

Uncorrected energy   -6.84 eV per atom
D(E_F)   1.6 states/eV/cell
Space-group type   C2/c

Lattice parameters (Å, degrees): 7.175 7.175 6.206 101.77 101.77 86.92
Element x y z (fractional)
Ca 0.091 0.909 0.750
Ca 0.909 0.091 0.250
Ac 0.312 0.688 0.250
Ac 0.688 0.312 0.750
Ge 0.198 0.386 0.726
Ge 0.386 0.198 0.226
Ge 0.614 0.802 0.774
Ge 0.802 0.614 0.274
O 0.009 0.218 0.641
O 0.117 0.613 0.852
O 0.218 0.009 0.141
O 0.322 0.381 0.474
O 0.381 0.322 0.974
O 0.387 0.883 0.648
O 0.613 0.117 0.352
O 0.619 0.678 0.026
O 0.678 0.619 0.526
O 0.782 0.991 0.859
O 0.883 0.387 0.148
O 0.991 0.782 0.359

***

Q: Number 2 is which compound?
A: Pr3Co2Si4

***

Q: Look up the D(E_F) of the third one.
A: 4.0 states/eV/cell